Material: AgWF2
Method: DFT, PBE with a Hubbard U
State: optimized geometry

```
AgWF2
1.0
-2.628 -2.836 -2.112
-3.624 -1.537 1.978
-3.979 1.293 -1.381
F Ag W
2 1 1
Cartesian
-7.673 -2.310 -1.136
-2.558 -0.770 -0.379
0.000 0.000 0.000
-5.115 -1.540 -0.757
```

Output
The space-group type is Fm-3m. The electronic total energy comes out at -0.27124 Ry/atom. Its theoretical density is 9.06 Mg/m³. As for the crystal system: cubic.